The following is a PBE calculation of Cu2HgOs after structural relaxation, from Alexandria via LeMat-Bulk.

abc: 5.2099 5.2099 4.7696
angles: 113.32 113.32 30.09
Sites, in units of the cell vectors:
1 Cu 0.0000 0.0000 0.0000
2 Cu 0.7346 0.7346 0.3818
3 Hg 0.4905 0.4905 0.4989
4 Os 0.2550 0.2550 0.9045

Energy of formation from the pure elements = 0.50 eV/atom
ρ = 14.527 g cm⁻³
DFT total energy = -17.7 eV per cell